Computed, not measured: Sn2Te2Se after structural relaxation at the PBE level of DFT.

It has space group P4/mbm (No. 127), with a = 8.364 Å, b = 8.364 Å, c = 4.256 Å, α = 90.00°, β = 90.00° and γ = 90.00°. The inequivalent atoms are Sn at (0.144, 0.356, 0.000), Te at (0.171, 0.671, 0.500) and Se at (0.000, 0.000, 0.500).

The uncorrected formation energy is 0.035 eV/atom. The calculation puts the energy above the lowest structure with this stoichiometry at 289 meV per atom. The value obtained for the density is 6376 kg/m³. The calculation puts the calculated volume at 148.86 Å³/f.u. The value obtained for the electronic total energy is -17.6 eV/f.u.